NaNi4H9C3O15 after structural relaxation, computed with GGA+U.

a = 10.4666 Å, b = 10.4666 Å, c = 6.1606 Å
α = 90.00°, β = 90.00°, γ = 120.00°
Fractional positions:
Na 0.0000 0.0000 0.0000
Na 0.0000 0.0000 0.5000
Ni 0.0009 0.5133 0.3488
Ni 0.3333 0.6667 0.2327
Ni 0.4867 0.4877 0.3488
Ni 0.4877 0.0009 0.8488
Ni 0.5123 0.9991 0.3488
Ni 0.5133 0.5123 0.8488
Ni 0.6667 0.3333 0.7327
Ni 0.9991 0.4867 0.8488
H 0.0036 0.7775 0.2682
H 0.1113 0.2851 0.2696
H 0.1594 0.7163 0.0378
H 0.1738 0.8887 0.2696
H 0.2225 0.2260 0.2682
H 0.2260 0.0036 0.7682
H 0.2837 0.4431 0.0378
H 0.2851 0.1738 0.7696
H 0.4431 0.1594 0.5377
H 0.5569 0.8406 0.0378
H 0.7149 0.8262 0.2696
H 0.7163 0.5569 0.5377
H 0.7740 0.9964 0.2682
H 0.7775 0.7740 0.7682
H 0.8262 0.1113 0.7696
H 0.8406 0.2837 0.5377
H 0.8887 0.7149 0.7696
H 0.9964 0.2225 0.7682
C 0.2194 0.7800 0.6053
C 0.2200 0.4394 0.6053
C 0.4394 0.2194 0.1053
C 0.5606 0.7806 0.6053
C 0.7800 0.5606 0.1053
C 0.7806 0.2200 0.1053
O 0.0784 0.8828 0.2470
O 0.0903 0.6613 0.6072
O 0.1172 0.1956 0.2470
O 0.1374 0.6185 0.0877
O 0.1408 0.4079 0.7786
O 0.1814 0.4776 0.4253
O 0.1956 0.0784 0.7470
O 0.2671 0.8592 0.7786
O 0.2961 0.8186 0.4253
O 0.3387 0.4290 0.6072
O 0.3815 0.5189 0.0877
O 0.4079 0.2671 0.2786
O 0.4290 0.0903 0.1072
O 0.4776 0.2961 0.9253
O 0.4811 0.8626 0.0877
O 0.5189 0.1374 0.5877
O 0.5224 0.7039 0.4253
O 0.5710 0.9097 0.6072
O 0.5921 0.7329 0.7786
O 0.6185 0.4811 0.5877
O 0.6613 0.5710 0.1072
O 0.7039 0.1814 0.9253
O 0.7329 0.1408 0.2786
O 0.8044 0.9216 0.2470
O 0.8186 0.5224 0.9253
O 0.8592 0.5921 0.2786
O 0.8626 0.3815 0.5877
O 0.8828 0.8044 0.7470
O 0.9097 0.3387 0.1072
O 0.9216 0.1172 0.7470

Values from the calculation:
**ρ**: 3.085 g cm⁻³
**Calculated total energy**: -5.72 eV/atom
**Symmetry**: P6_3
**Magnetic moment**: 16.00 μB/cell